Here is a relaxed Sc2BiS crystal from Alexandria. Energies are from GGA-PBE.

abc: 3.8675 3.8675 20.4058
angles: 90.00 90.00 120.00
With the nearest neighbours (Å) after each atom.
Fractional coordinates of all 12 atoms:
Sc  0.0000  0.0000  0.2343  3 S 2.63
Sc  0.0000  0.0000  0.7657  3 S 2.63
Sc  0.3333  0.6667  0.4323  3 S 2.63
Sc  0.3333  0.6667  0.9010  3 S 2.63
Sc  0.6667  0.3333  0.0990  3 S 2.63
Sc  0.6667  0.3333  0.5677  3 S 2.63
Bi  0.0000  0.0000  0.0000  6 Sc 3.01
Bi  0.3333  0.6667  0.6667  6 Sc 3.01
Bi  0.6667  0.3333  0.3333  6 Sc 3.01
S  0.0000  0.0000  0.5000  6 Sc 2.63
S  0.3333  0.6667  0.1667  6 Sc 2.63
S  0.6667  0.3333  0.8333  6 Sc 2.63

Electronic total energy: -6.38 eV per atom
ΔE to the lowest computed polymorph: 0.0 meV per atom
ΔE_f (raw): -1209 meV/atom